# 1
## BaNaCl3 (GGA-PBE)

Data for a geometry-optimized BaNaCl3 structure.

Computed properties:
As for the formation energy from raw total energies: -2.055 eV/atom. For the excess energy over the best structure of this formula in the dataset, the calculation gives 139 meV/atom. The value obtained for the magnetic moment is 0.00 μB/atom. The symmetry is Pm-3m, No. 221. The crystal system is cubic.

Lattice parameters (Å, degrees): 5.1569 5.1569 5.1569 90.00 90.00 90.00
Fractional coordinates of all 5 atoms:
Cl 0.5000 0.0000 0.0000
Cl 0.0000 0.5000 0.0000
Cl 0.0000 0.0000 0.5000
Ba 0.5000 0.5000 0.5000
Na 0.0000 0.0000 0.0000

***

# 2
## LaTbPmHg (GGA-PBE)

Data for a geometry-optimized LaTbPmHg structure.

Computed properties:
For the excess energy over the best structure of this formula in the dataset, the calculation gives 0 meV/atom. The value obtained for the formation enthalpy at 0 K is -231.7 meV/atom. The value obtained for the magnetic moment is 0.00 μB/atom. The symmetry is P4mm, No. 99. The crystal system is tetragonal.

Lattice parameters (Å, degrees): 3.7316 3.7316 8.8467 90.00 90.00 90.00
Fractional coordinates of all 4 atoms:
La 0.0000 0.0000 0.0761
Pm 0.5000 0.5000 0.7891
Hg 0.0000 0.0000 0.5624
Tb 0.5000 0.5000 0.3570

***

# 3
## NaTb2Pb3S6 (GGA-PBE)

Data for a geometry-optimized NaTb2Pb3S6 structure.

Computed properties:
As for the formation energy from raw total energies: -1.163 eV/atom. The value obtained for the magnetic moment is 0.01 μB/atom. The symmetry is C2/m, No. 12. The crystal system is monoclinic.

Lattice parameters (Å, degrees): 3.9587 8.9107 9.2409 105.17 102.37 90.00
Fractional coordinates of all 12 atoms:
Pb 0.1604 0.8397 0.3209
Pb 0.8396 0.1603 0.6792
Pb 0.5000 0.5000 0.0000
S 0.6701 0.1214 0.3402
S 0.6728 0.5541 0.3455
S 0.9916 0.7446 0.9832
S 0.3299 0.8786 0.6598
S 0.0084 0.2554 0.0168
S 0.3272 0.4459 0.6545
Tb 0.8361 0.6684 0.6721
Tb 0.1639 0.3316 0.3279
Na 0.5000 0.0000 0.0000

***

# 4
## Pr2HoIr (GGA-PBE)

Data for a geometry-optimized Pr2HoIr structure.

Computed properties:
For the excess energy over the best structure of this formula in the dataset, the calculation gives 465 meV/atom. The value obtained for the formation enthalpy at 0 K is -0.6 meV/atom. The value obtained for the magnetic moment is 0.04 μB/atom. The symmetry is R-3m, No. 166. The crystal system is trigonal.

Lattice parameters (Å, degrees): 3.8314 3.8314 10.9496 79.92 79.92 60.00
Fractional coordinates of all 4 atoms:
Ho 0.0000 0.0000 0.0000
Pr 0.8888 0.8888 0.3336
Pr 0.1112 0.1112 0.6664
Ir 0.5000 0.5000 0.5000